#w
# Cu5As4

A relaxed structure of Cu5As4 (PBE-GGA, Alexandria).

abc: 6.282 6.282 6.282
angles: 95.38 95.38 144.34
Sites, in units of the cell vectors:
Cu  0.000  0.000  0.000
Cu  0.338  0.338  0.676
Cu  0.662  0.662  0.324
Cu  0.662  0.338  0.000
Cu  0.338  0.662  0.000
As  0.293  0.000  0.293
As  0.707  0.000  0.707
As  0.000  0.293  0.293
As  0.000  0.707  0.707


#x
# Cu5As4

A relaxed structure of Cu5As4 (PBE-GGA, Alexandria).

abc: 7.878 7.878 5.149
angles: 90.00 90.00 120.00
Sites, in units of the cell vectors:
As  0.000  0.000  0.000
As  0.000  0.000  0.500
As  0.000  0.396  0.250
As  0.604  0.604  0.250
As  0.396  0.000  0.250
As  0.000  0.604  0.750
As  0.396  0.396  0.750
As  0.604  0.000  0.750
Cu  0.000  0.704  0.250
Cu  0.296  0.296  0.250
Cu  0.704  0.000  0.250
Cu  0.000  0.296  0.750
Cu  0.704  0.704  0.750
Cu  0.296  0.000  0.750
Cu  0.667  0.333  0.000
Cu  0.333  0.667  0.500
Cu  0.333  0.667  0.000
Cu  0.667  0.333  0.500


Which of them is the most stable? Correct choice: #w.


#w
# CuAsF2

A relaxed structure of CuAsF2 (PBE-GGA, Alexandria).

abc: 7.633 7.633 5.862
angles: 49.38 49.38 90.00
Sites, in units of the cell vectors:
As  0.000  0.000  0.000
As  0.750  0.250  0.500
Cu  0.500  0.500  0.000
Cu  0.250  0.750  0.500
F  0.764  0.125  0.250
F  0.986  0.625  0.250
F  0.375  0.236  0.750
F  0.875  0.014  0.750


#x
# CuAsF2

A relaxed structure of CuAsF2 (PBE-GGA, Alexandria).

abc: 4.166 4.166 4.166
angles: 60.00 60.00 60.00
Sites, in units of the cell vectors:
As  0.500  0.500  0.500
Cu  0.000  0.000  0.000
F  0.250  0.250  0.250
F  0.750  0.750  0.750


#y
# CuAsF2

A relaxed structure of CuAsF2 (PBE-GGA, Alexandria).

abc: 7.277 7.277 7.277
angles: 23.92 23.92 23.92
Sites, in units of the cell vectors:
As  0.000  0.000  0.000
Cu  0.500  0.500  0.500
F  0.900  0.900  0.900
F  0.100  0.100  0.100


Which of them is the most stable? Correct choice: #y.